Entry 1:
DFT (GGA-PBE) results for a relaxed structure of CuReSi4.

Geometry as POSCAR:
```
CuReSi4
1.0
0.1096 -2.3174 4.2449
-3.5024 -3.1384 1.1336
0.9535 -4.7404 0.1439
Si Re Cu
4 1 1
Direct
0.3746 0.3746 0.8762
0.3746 0.3746 0.3746
0.3746 0.8762 0.3746
0.8762 0.3746 0.3746
0.0000 0.0000 0.0000
0.7500 0.7500 0.7500
```

Its space group is No. 216.

Entry 2:
DFT (GGA-PBE) results for a relaxed structure of Cu3ReSi.

Geometry as POSCAR:
```
Cu3ReSi
1.0
-2.5436 3.3970 0.1682
-0.9566 -0.5130 -4.1061
-3.2639 -2.4970 1.0723
Cu Si Re
3 1 1
Direct
0.0000 0.0000 0.5000
0.5000 0.0000 0.0000
0.0000 0.5000 0.0000
0.0000 0.0000 0.0000
0.5000 0.5000 0.5000
```

Its space group is No. 221.

Entry 3:
DFT (GGA-PBE) results for a relaxed structure of Cu2ReSi2.

Geometry as POSCAR:
```
Cu2ReSi2
1.0
6.4016 0.0000 0.0000
0.0000 6.4016 0.0000
0.0000 0.0000 3.2663
Si Re Cu
4 2 4
Direct
0.6477 0.1477 0.0000
0.1477 0.3523 0.0000
0.3523 0.8523 0.0000
0.8523 0.6477 0.0000
0.0000 0.0000 0.0000
0.5000 0.5000 0.0000
0.1472 0.6472 0.5000
0.6472 0.8528 0.5000
0.3528 0.1472 0.5000
0.8528 0.3528 0.5000
```

Its space group is No. 127.

no.,theoretical density (g/cm³),calculated volume (Å³/cell),E_form (uncorrected) (meV/atom)
1,7.511,80,564.3
2,8.777,77,1154.8
3,9.167,134,117.3